No. 1
Hg8IO6 GGA-PBE optimized geometry; space group = R-3, No. 148; D(E_F) = 3.52 states/eV per cell
1.0
7.725 -0.972 -1.004
-1.212 7.691 -1.004
-1.212 -1.251 7.655
O Hg I
6 8 1
Cartesian
2.206 3.848 0.121 O
3.095 1.620 5.527 O
-0.072 2.205 3.850 O
5.372 3.264 1.797 O
1.523 5.423 3.320 O
3.778 0.046 2.328 O
2.908 -0.326 4.937 Hg
0.449 2.408 5.814 Hg
2.393 5.794 0.710 Hg
5.717 0.627 2.594 Hg
4.852 3.061 -0.167 Hg
1.781 1.837 1.897 Hg
-0.416 4.842 3.054 Hg
3.520 3.631 3.750 Hg
0.000 0.000 0.000 I

No. 2
Hg2IO GGA-PBE optimized geometry; space group = P3_121, No. 152; D(E_F) = 4.68 states/eV per cell
1.0
6.947 0.000 0.000
-3.473 6.016 0.000
0.000 0.000 8.385
Hg I O
6 3 3
Cartesian
3.094 3.334 6.814 Hg
1.340 4.346 1.571 Hg
4.813 1.669 4.019 Hg
-0.961 5.003 4.366 Hg
-0.379 2.682 7.161 Hg
2.513 1.013 1.224 Hg
4.483 4.267 1.398 I
1.454 6.016 6.988 I
1.010 1.749 4.193 I
0.430 6.016 2.795 O
4.995 3.380 5.590 O
1.522 2.635 0.000 O

| no. | uncorrected formation energy (eV/f.u.) |
| --- | --- |
| 1 | -2.880 |
| 2 | -0.434 |